La3Sm4YTe8 after structural relaxation, computed with GGA-PBE.

Results
N(E_F): 12.9 states/eV/cell
Total magnetization: 0.000 μB per atom
Space group: No. 12
Raw formation energy: -1.449 eV/atom
Mass density: 6.910 g cm⁻³

Lattice parameters (Å, degrees): 9.0041 8.9482 8.9914 120.07 120.05 90.00
With the nearest neighbours (Å) after each atom.
Fractional positions:
Sm: 0.5000 0.0000 0.0000  6 Te 3.20-3.21
Sm: 0.5000 0.0000 0.5000  6 Te 3.14
Sm: 0.0000 0.0000 0.0000  6 Te 3.13-3.14
Sm: 0.0000 0.0000 0.5000  6 Te 3.14
Te: 0.7524 0.2463 0.5047  3 Sm 3.14-3.20, 1 Y 3.14, 2 La 3.21
Te: 0.2415 0.2464 0.9939  3 Sm 3.14-3.21, 1 Y 3.14, 2 La 3.21
Te: 0.2476 0.7537 0.4953  3 Sm 3.14-3.20, 1 Y 3.14, 2 La 3.21
Te: 0.7585 0.7536 0.0061  3 Sm 3.14-3.21, 1 Y 3.14, 2 La 3.21
Te: 0.7531 0.7592 0.5062  3 Sm 3.13-3.14, 3 La 3.21
Te: 0.2469 0.2408 0.4938  3 Sm 3.13-3.14, 3 La 3.21
Te: 0.7524 0.2464 0.9939  3 Sm 3.14-3.21, 1 Y 3.14, 2 La 3.21
Te: 0.2476 0.7536 0.0061  3 Sm 3.14-3.21, 1 Y 3.14, 2 La 3.21
La: 0.5000 0.5000 0.0000  6 Te 3.21
La: 0.0000 0.5000 0.5000  6 Te 3.21
La: 0.5000 0.5000 0.5000  6 Te 3.21
Y: 0.0000 0.5000 0.0000  6 Te 3.14

BaLi2TlRu after structural relaxation, computed with GGA-PBE.

Results
N(E_F): 4.9 states/eV/cell
Total magnetization: 0.419 μB per atom
Space group: No. 123
DFT formation energy: 1.6553 eV per atom
Mass density: 4.777 g cm⁻³

Lattice parameters (Å, degrees): 5.1430 6.0014 5.1430 90.00 90.00 90.00
With the nearest neighbours (Å) after each atom.
Fractional positions:
Li: 0.0000 0.0000 0.5000  2 Ba 2.57
Li: 0.5000 0.0000 0.0000  2 Ba 2.57
Ru: 0.5000 0.5000 0.5000  4 Tl 3.64, 8 Li 3.95
Tl: 0.0000 0.5000 0.0000  2 Ba 3.00
Ba: 0.0000 0.0000 0.0000  4 Li 2.57

AgGeI2N after structural relaxation, computed with GGA-PBE.

Results
N(E_F): 2.5 states/eV/cell
Total magnetization: 0.371 μB per atom
Space group: No. 123
Raw formation energy: 0.981 eV/atom
Mass density: 5.339 g cm⁻³

Lattice parameters (Å, degrees): 5.8600 5.8600 4.0604 90.00 90.00 90.00
With the nearest neighbours (Å) after each atom.
Fractional positions:
I: 0.5000 0.0000 0.0000  2 Ag 2.93
I: 0.0000 0.5000 0.0000  2 Ag 2.93
N: 0.0000 0.0000 0.5000  2 Ag 2.03
Ge: 0.5000 0.5000 0.5000  8 I 3.56
Ag: 0.0000 0.0000 0.0000  2 N 2.03

SrTcSn3 after structural relaxation, computed with GGA-PBE.

Results
N(E_F): 4.6 states/eV/cell
Total magnetization: 0.662 μB per atom
Space group: No. 221
DFT formation energy: 1.6907 eV per atom
Mass density: 4.471 g cm⁻³

Lattice parameters (Å, degrees): 5.8596 5.8596 5.8596 90.00 90.00 90.00
With the nearest neighbours (Å) after each atom.
Fractional positions:
Tc: 0.5000 0.5000 0.5000  12 Sn 4.14
Sr: 0.0000 0.0000 0.0000  6 Sn 2.93
Sn: 0.0000 0.5000 0.0000  2 Sr 2.93
Sn: 0.0000 0.0000 0.5000  2 Sr 2.93
Sn: 0.5000 0.0000 0.0000  2 Sr 2.93

BaHf2ScGe after structural relaxation, computed with GGA-PBE.

Results
N(E_F): 10.9 states/eV/cell
Total magnetization: 0.000 μB per atom
Space group: No. 123
DFT formation energy: 0.5726 eV per atom
Mass density: 6.464 g cm⁻³

Lattice parameters (Å, degrees): 5.1200 5.9964 5.1200 90.00 90.00 90.00
With the nearest neighbours (Å) after each atom.
Fractional positions:
Sc: 0.5000 0.5000 0.5000  4 Ba 3.62, 8 Hf 3.94
Hf: 0.5000 0.0000 0.0000  2 Ge 2.56
Hf: 0.0000 0.0000 0.5000  2 Ge 2.56
Ge: 0.0000 0.0000 0.0000  4 Hf 2.56
Ba: 0.0000 0.5000 0.0000  2 Ge 3.00

Na2Pu3O8 after structural relaxation, computed with GGA-PBE.

Results
N(E_F): 14.2 states/eV/cell
Total magnetization: 0.769 μB per atom
Space group: No. 12
Raw formation energy: -2.587 eV/atom
Mass density: 6.943 g cm⁻³

Lattice parameters (Å, degrees): 5.9047 6.8688 6.5498 121.62 104.16 90.00
With the nearest neighbours (Å) after each atom.
Fractional positions:
Pu: 0.0000 0.2559 0.0000  6 O 2.13-2.24
Pu: 0.0000 0.7441 0.0000  6 O 2.13-2.24
Pu: 0.5000 0.0000 0.0000  6 O 2.14-2.24
O: 0.1098 0.9051 0.8103  3 Pu 2.24
O: 0.6291 0.6824 0.7979  2 Pu 2.14-2.17
O: 0.0730 0.3999 0.7998  2 Pu 2.13
O: 0.3709 0.8845 0.2021  2 Pu 2.14-2.17
O: 0.9270 0.6001 0.2002  2 Pu 2.13
O: 0.6291 0.1155 0.7979  2 Pu 2.14-2.17
O: 0.8902 0.0949 0.1897  3 Pu 2.24
O: 0.3709 0.3176 0.2021  2 Pu 2.14-2.17
Na: 0.6105 0.6993 0.3986  5 O 2.43-2.65
Na: 0.3895 0.3007 0.6014  5 O 2.43-2.65